This record from the Alexandria database describes a geometry-optimized Pd2Pt2Pb structure. The functional is GGA-PBE.

a b c (Å): 7.118 7.118 3.613
angles (deg): 90.00 90.00 90.00
Atoms (fractional coordinates):
Pd (0.162, 0.338, 0.000)
Pd (0.338, 0.838, 0.000)
Pd (0.662, 0.162, 0.000)
Pd (0.838, 0.662, 0.000)
Pt (0.134, 0.634, 0.500)
Pt (0.366, 0.134, 0.500)
Pt (0.634, 0.866, 0.500)
Pt (0.866, 0.366, 0.500)
Pb (0.000, 0.000, 0.500)
Pb (0.500, 0.500, 0.500)

Summary:
Relative energy among the computed polymorphs   0 meV/atom
Total energy   -5.2234 eV/atom
Size of the total moment   0.0 μB/cell
Calculated formation energy   0.0117 eV/atom
D(E_F)   5.4 states/eV per cell

=====

This record from the Alexandria database describes a geometry-optimized Y2Ga5Ag5 structure. The functional is GGA-PBE.

a b c (Å): 4.357 5.631 9.635
angles (deg): 90.00 90.00 90.00
Atoms (fractional coordinates):
Y (0.000, 0.000, 0.000)
Y (0.000, 0.500, 0.500)
Ga (0.000, 0.000, 0.330)
Ga (0.000, 0.000, 0.670)
Ga (0.000, 0.500, 0.166)
Ga (0.000, 0.500, 0.834)
Ga (0.500, 0.000, 0.500)
Ag (0.500, 0.252, 0.256)
Ag (0.500, 0.252, 0.744)
Ag (0.500, 0.500, 0.000)
Ag (0.500, 0.748, 0.256)
Ag (0.500, 0.748, 0.744)

Summary:
Total energy   -3.7415 eV/atom
Size of the total moment   0.0 μB/cell
Calculated formation energy   -0.2149 eV/atom
D(E_F)   5.9 states/eV per cell

=====

This record from the Alexandria database describes a geometry-optimized BeFeAu2I structure. The functional is GGA-PBE.

a b c (Å): 4.977 4.977 5.024
angles (deg): 90.00 90.00 90.00
Atoms (fractional coordinates):
Be (0.000, 0.000, 0.000)
Fe (0.500, 0.500, 0.500)
Au (0.000, 0.500, 0.500)
Au (0.500, 0.000, 0.500)
I (0.500, 0.500, 0.000)

Summary:
Formation energy (no corrections)   1.08 eV/atom
Total energy   -2.9798 eV/atom
Size of the total moment   2.9 μB/cell
D(E_F)   3.8 states/eV per cell

=====

This record from the Alexandria database describes a geometry-optimized NaSn3 structure. The functional is GGA-PBE.

a b c (Å): 7.578 7.578 7.578
angles (deg): 90.00 90.00 90.00
Atoms (fractional coordinates):
Na (0.000, 0.000, 0.000)
Na (0.000, 0.500, 0.500)
Na (0.500, 0.000, 0.500)
Na (0.500, 0.500, 0.000)
Sn (0.000, 0.000, 0.500)
Sn (0.000, 0.500, 0.000)
Sn (0.250, 0.250, 0.250)
Sn (0.250, 0.250, 0.750)
Sn (0.250, 0.750, 0.250)
Sn (0.250, 0.750, 0.750)
Sn (0.500, 0.000, 0.000)
Sn (0.500, 0.500, 0.500)
Sn (0.750, 0.250, 0.250)
Sn (0.750, 0.250, 0.750)
Sn (0.750, 0.750, 0.250)
Sn (0.750, 0.750, 0.750)

Summary:
Total energy   -3.3636 eV/atom
Size of the total moment   0.0 μB/cell
Calculated formation energy   -0.0318 eV/atom
D(E_F)   8.7 states/eV per cell